(a)
Density functional theory data (PBE) for an optimized crystal structure of HoScPtAu.

The structure in CIF format:
```
data_HoScPtAu
_symmetry_space_group_name_H-M 'P 4 m m'
_symmetry_Int_Tables_number 99
_cell_length_a 3.423
_cell_length_b 3.423
_cell_length_c 6.967
_cell_angle_alpha 90.00
_cell_angle_beta 90.00
_cell_angle_gamma 90.00
loop_
_symmetry_equiv_pos_as_xyz
'x,y,z'
'-y,x,z'
'-x,-y,z'
'y,-x,z'
'-x,y,z'
'y,x,z'
'x,-y,z'
'-y,-x,z'
loop_
_atom_site_label
_atom_site_type_symbol
_atom_site_fract_x
_atom_site_fract_y
_atom_site_fract_z
Ho1 Ho 0.000 0.000 0.000
Sc1 Sc 0.000 0.000 0.517
Pt1 Pt 0.500 0.500 0.739
Au1 Au 0.500 0.500 0.280
```

(b)
Density functional theory data (PBE) for an optimized crystal structure of HoScPtAu.

The structure in CIF format:
```
data_HoScPtAu
_symmetry_space_group_name_H-M 'F -4 3 m'
_symmetry_Int_Tables_number 216
_symmetry_space_group_name_Hall 'F -4 2 3'
_cell_length_a 6.893
_cell_length_b 6.893
_cell_length_c 6.893
_cell_angle_alpha 90.00
_cell_angle_beta 90.00
_cell_angle_gamma 90.00
loop_
_atom_site_label
_atom_site_type_symbol
_atom_site_fract_x
_atom_site_fract_y
_atom_site_fract_z
Ho1 Ho 0.000 0.000 0.000
Sc1 Sc 0.000 0.000 0.500
Pt1 Pt 0.250 0.250 0.250
Au1 Au 0.250 0.250 0.750
```

Energies relative to the minimum, eV/atom: (a) 0.000; (b) 0.024

(a)
Density functional theory data (PBE) for an optimized crystal structure of HoTmPtAu.

The structure in CIF format:
```
data_HoTmPtAu
_symmetry_space_group_name_H-M 'A m m 2'
_symmetry_Int_Tables_number 38
_cell_length_a 4.560
_cell_length_b 3.718
_cell_length_c 10.641
_cell_angle_alpha 90.00
_cell_angle_beta 90.00
_cell_angle_gamma 90.00
loop_
_symmetry_equiv_pos_as_xyz
'x,y,z'
'-x,-y,z'
'-x,y,z'
'x,-y,z'
'x,y+1/2,z+1/2'
'-x,-y+1/2,z+1/2'
'-x,y+1/2,z+1/2'
'x,-y+1/2,z+1/2'
loop_
_atom_site_label
_atom_site_type_symbol
_atom_site_fract_x
_atom_site_fract_y
_atom_site_fract_z
Ho1 Ho 0.000 0.000 0.000
Tm1 Tm 0.500 0.000 0.723
Pt1 Pt 0.500 0.000 0.452
Au1 Au 0.000 0.000 0.274
```

(b)
Density functional theory data (PBE) for an optimized crystal structure of HoTmPtAu.

The structure in CIF format:
```
data_HoTmPtAu
_symmetry_space_group_name_H-M 'F -4 3 m'
_symmetry_Int_Tables_number 216
_symmetry_space_group_name_Hall 'F -4 2 3'
_cell_length_a 7.028
_cell_length_b 7.028
_cell_length_c 7.028
_cell_angle_alpha 90.00
_cell_angle_beta 90.00
_cell_angle_gamma 90.00
loop_
_atom_site_label
_atom_site_type_symbol
_atom_site_fract_x
_atom_site_fract_y
_atom_site_fract_z
Ho1 Ho 0.000 0.000 0.000
Tm1 Tm 0.000 0.000 0.500
Pt1 Pt 0.250 0.250 0.750
Au1 Au 0.250 0.250 0.250
```

Energies relative to the minimum, eV/atom: (a) 0.000; (b) 0.045

(a)
Density functional theory data (PBE) for an optimized crystal structure of Ho2PuAu.

The structure in CIF format:
```
data_Ho2PuAu
_symmetry_space_group_name_H-M 'R -3 m'
_symmetry_Int_Tables_number 166
_symmetry_space_group_name_Hall '-R 3 2"'
_cell_length_a 3.5825
_cell_length_b 3.5825
_cell_length_c 29.9062
_cell_angle_alpha 90.00
_cell_angle_beta 90.00
_cell_angle_gamma 120.00
loop_
_atom_site_label
_atom_site_type_symbol
_atom_site_fract_x
_atom_site_fract_y
_atom_site_fract_z
Ho1 Ho 0.0000 0.0000 0.2389
Pu1 Pu 0.0000 0.0000 0.0000
Au1 Au 0.0000 0.0000 0.5000
```

(b)
Density functional theory data (PBE) for an optimized crystal structure of Ho2PuAu.

The structure in CIF format:
```
data_Ho2PuAu
_symmetry_space_group_name_H-M 'P 4/m m m'
_symmetry_Int_Tables_number 123
_symmetry_space_group_name_Hall '-P 4 2'
_cell_length_a 3.553
_cell_length_b 3.553
_cell_length_c 8.337
_cell_angle_alpha 90.00
_cell_angle_beta 90.00
_cell_angle_gamma 90.00
loop_
_atom_site_label
_atom_site_type_symbol
_atom_site_fract_x
_atom_site_fract_y
_atom_site_fract_z
Ho1 Ho 0.000 0.000 0.212
Pu1 Pu 0.500 0.500 0.500
Au1 Au 0.500 0.500 0.000
```

Energies relative to the minimum, eV/atom: (a) 0.139; (b) 0.000